[1]
Material: Zr4ScAu
Method: DFT, PBE-GGA
State: optimized geometry

Unit cell a=5.7690 b=5.7690 c=5.7690 alpha=60.00 beta=60.00 gamma=60.00
Sites, in units of the cell vectors:
Zr 0.8790 0.3737 0.3737
Zr 0.3737 0.3737 0.8790
Zr 0.3737 0.8790 0.3737
Zr 0.3737 0.3737 0.3737
Sc 0.0000 0.0000 0.0000
Au 0.7500 0.7500 0.7500

ΔH_f (0 K) ... 0.169 eV per atom

=====

[2]
Material: Be2NiCl
Method: DFT, PBE-GGA
State: optimized geometry

Unit cell a=4.1098 b=4.1098 c=4.1098 alpha=60.00 beta=60.00 gamma=60.00
Sites, in units of the cell vectors:
Ni 0.2500 0.2500 0.2500
Be 0.0000 0.0000 0.0000
Be 0.7500 0.7500 0.7500
Cl 0.5000 0.5000 0.5000

ΔE to the lowest computed polymorph ... 1006 meV per atom

=====

| no. | ρ (g cm⁻³) |
| --- | --- |
| 1 | 7.4 |
| 2 | 3.8 |